Entry 1:
The following is a DFT calculation (meta-GGA SCAN) of Y2CuRh at its PBEsol-relaxed geometry.

Cell and atoms, written as CIF:
```
data_Y2CuRh
_symmetry_space_group_name_H-M 'P 1'
_symmetry_Int_Tables_number 1
_cell_length_a 3.4014
_cell_length_b 3.4014
_cell_length_c 6.8137
_cell_angle_alpha 90.00
_cell_angle_beta 90.00
_cell_angle_gamma 90.00
loop_
_symmetry_equiv_pos_as_xyz
'x,y,z'
loop_
_atom_site_label
_atom_site_fract_x
_atom_site_fract_y
_atom_site_fract_z
Y1 0.0000 0.0000 0.7444
Y2 0.0000 0.0000 0.2556
Rh1 0.5000 0.5000 0.5000
Cu1 0.5000 0.5000 0.0000
```

## Properties
formation energy = -0.631 eV per atom
density of states at the Fermi level = 0.55 states/eV/atom
final energy = -26.795 eV per atom

Entry 2:
The following is a DFT calculation (meta-GGA SCAN) of Cs2TiAg at its PBEsol-relaxed geometry.

Cell and atoms, written as CIF:
```
data_Cs2TiAg
_symmetry_space_group_name_H-M 'P 1'
_symmetry_Int_Tables_number 1
_cell_length_a 6.1185
_cell_length_b 6.1185
_cell_length_c 6.1185
_cell_angle_alpha 60.00
_cell_angle_beta 60.00
_cell_angle_gamma 60.00
loop_
_symmetry_equiv_pos_as_xyz
'x,y,z'
loop_
_atom_site_label
_atom_site_fract_x
_atom_site_fract_y
_atom_site_fract_z
Cs1 0.2500 0.2500 0.2500
Cs2 0.7500 0.7500 0.7500
Ag1 0.5000 0.5000 0.5000
Ti1 0.0000 0.0000 0.0000
```

## Properties
formation energy = 1.020 eV per atom
density of states at the Fermi level = 1.40 states/eV/atom
final energy = -29.734 eV per atom

Entry 3:
The following is a DFT calculation (meta-GGA SCAN) of Zn2Ag at its PBEsol-relaxed geometry.

Cell and atoms, written as CIF:
```
data_Zn2Ag
_symmetry_space_group_name_H-M 'P 1'
_symmetry_Int_Tables_number 1
_cell_length_a 2.7286
_cell_length_b 4.3342
_cell_length_c 4.3342
_cell_angle_alpha 120.00
_cell_angle_beta 90.00
_cell_angle_gamma 90.00
loop_
_symmetry_equiv_pos_as_xyz
'x,y,z'
loop_
_atom_site_label
_atom_site_fract_x
_atom_site_fract_y
_atom_site_fract_z
Zn1 0.0000 0.6667 0.3333
Zn2 0.0000 0.3333 0.6667
Ag1 0.5000 0.0000 0.0000
```

## Properties
formation energy = 0.009 eV per atom
density of states at the Fermi level = 0.23 states/eV/atom
final energy = -19.457 eV per atom

Entry 4:
The following is a DFT calculation (meta-GGA SCAN) of SrSnO2 at its PBEsol-relaxed geometry.

Cell and atoms, written as CIF:
```
data_SrSnO2
_symmetry_space_group_name_H-M 'P 1'
_symmetry_Int_Tables_number 1
_cell_length_a 5.3547
_cell_length_b 5.3547
_cell_length_c 6.8748
_cell_angle_alpha 112.92
_cell_angle_beta 112.92
_cell_angle_gamma 90.00
loop_
_symmetry_equiv_pos_as_xyz
'x,y,z'
loop_
_atom_site_label
_atom_site_fract_x
_atom_site_fract_y
_atom_site_fract_z
Sr1 0.7500 0.2500 0.5000
Sr2 0.5000 0.5000 0.0000
Sn1 0.2500 0.7500 0.5000
Sn2 0.0000 0.0000 0.0000
O1 0.8889 0.3750 0.2500
O2 0.3611 0.8750 0.2500
O3 0.6250 0.6389 0.7500
O4 0.1250 0.1111 0.7500
```

## Properties
E_form (uncorrected) = -1.767 eV per atom
final energy = -19.431 eV per atom

Entry 5:
The following is a DFT calculation (meta-GGA SCAN) of ScTi3H at its PBEsol-relaxed geometry.

Cell and atoms, written as CIF:
```
data_ScTi3H
_symmetry_space_group_name_H-M 'P 1'
_symmetry_Int_Tables_number 1
_cell_length_a 4.1760
_cell_length_b 4.1760
_cell_length_c 4.1760
_cell_angle_alpha 90.00
_cell_angle_beta 90.00
_cell_angle_gamma 90.00
loop_
_symmetry_equiv_pos_as_xyz
'x,y,z'
loop_
_atom_site_label
_atom_site_fract_x
_atom_site_fract_y
_atom_site_fract_z
Sc1 0.5000 0.5000 0.5000
H1 0.0000 0.0000 0.0000
Ti1 0.0000 0.5000 0.0000
Ti2 0.0000 0.0000 0.5000
Ti3 0.5000 0.0000 0.0000
```

## Properties
density of states at the Fermi level = 1.69 states/eV/atom
final energy = -13.190 eV per atom

Entry 6:
The following is a DFT calculation (meta-GGA SCAN) of ReSiIr2 at its PBEsol-relaxed geometry.

Cell and atoms, written as CIF:
```
data_ReSiIr2
_symmetry_space_group_name_H-M 'P 1'
_symmetry_Int_Tables_number 1
_cell_length_a 2.7554
_cell_length_b 3.7673
_cell_length_c 5.3023
_cell_angle_alpha 90.00
_cell_angle_beta 90.00
_cell_angle_gamma 90.00
loop_
_symmetry_equiv_pos_as_xyz
'x,y,z'
loop_
_atom_site_label
_atom_site_fract_x
_atom_site_fract_y
_atom_site_fract_z
Ir1 0.0000 0.0000 0.7482
Ir2 0.0000 0.0000 0.2518
Re1 0.5000 0.5000 0.0000
Si1 0.5000 0.5000 0.5000
```

## Properties
E_form (uncorrected) = -0.199 eV per atom
density of states at the Fermi level = 0.50 states/eV/atom
final energy = -56.027 eV per atom

Entry 7:
The following is a DFT calculation (meta-GGA SCAN) of Er2GeO5 at its PBEsol-relaxed geometry.

Cell and atoms, written as CIF:
```
data_Er2GeO5
_symmetry_space_group_name_H-M 'P 1'
_symmetry_Int_Tables_number 1
_cell_length_a 6.6651
_cell_length_b 6.8252
_cell_length_c 9.1922
_cell_angle_alpha 90.00
_cell_angle_beta 98.29
_cell_angle_gamma 90.00
loop_
_symmetry_equiv_pos_as_xyz
'x,y,z'
loop_
_atom_site_label
_atom_site_fract_x
_atom_site_fract_y
_atom_site_fract_z
Er1 0.5218 0.3561 0.1522
Er2 0.0218 0.1439 0.1522
Er3 0.2717 0.3811 0.4681
Er4 0.2283 0.8811 0.5319
Er5 0.7717 0.1189 0.4681
Er6 0.7283 0.6189 0.5319
Er7 0.9782 0.8561 0.8478
Er8 0.4782 0.6439 0.8478
Ge1 0.5176 0.8965 0.2001
Ge2 0.0176 0.6035 0.2001
Ge3 0.9824 0.3965 0.7999
Ge4 0.4824 0.1035 0.7999
O1 0.0131 0.8164 0.0973
O2 0.3381 0.0739 0.1357
O3 0.2229 0.4302 0.2193
O4 0.5131 0.6836 0.0973
O5 0.0309 0.6467 0.3937
O6 0.0855 0.1198 0.3952
O7 0.8381 0.4261 0.1357
O8 0.7229 0.0698 0.2193
O9 0.5309 0.8533 0.3937
O10 0.5855 0.3802 0.3952
O11 0.4145 0.6198 0.6048
O12 0.4691 0.1467 0.6063
O13 0.2771 0.9302 0.7807
O14 0.1619 0.5739 0.8643
O15 0.9145 0.8802 0.6048
O16 0.9691 0.3533 0.6063
O17 0.4869 0.3164 0.9027
O18 0.7771 0.5698 0.7807
O19 0.6619 0.9261 0.8643
O20 0.9869 0.1836 0.9027
```

## Properties
E_form (uncorrected) = -3.229 eV per atom
density of states at the Fermi level = 0.00 states/eV/atom
final energy = -22.094 eV per atom

Entry 8:
The following is a DFT calculation (meta-GGA SCAN) of MgTcAu3 at its PBEsol-relaxed geometry.

Cell and atoms, written as CIF:
```
data_MgTcAu3
_symmetry_space_group_name_H-M 'P 1'
_symmetry_Int_Tables_number 1
_cell_length_a 4.9376
_cell_length_b 4.9376
_cell_length_c 4.9376
_cell_angle_alpha 90.00
_cell_angle_beta 90.00
_cell_angle_gamma 90.00
loop_
_symmetry_equiv_pos_as_xyz
'x,y,z'
loop_
_atom_site_label
_atom_site_fract_x
_atom_site_fract_y
_atom_site_fract_z
Mg1 0.5000 0.5000 0.5000
Au1 0.0000 0.5000 0.0000
Au2 0.0000 0.0000 0.5000
Au3 0.5000 0.0000 0.0000
Tc1 0.0000 0.0000 0.0000
```

## Properties
formation energy = 0.795 eV per atom
density of states at the Fermi level = 0.58 states/eV/atom
final energy = -48.706 eV per atom

Entry 9:
The following is a DFT calculation (meta-GGA SCAN) of BeIr2 at its PBEsol-relaxed geometry.

Cell and atoms, written as CIF:
```
data_BeIr2
_symmetry_space_group_name_H-M 'P 1'
_symmetry_Int_Tables_number 1
_cell_length_a 2.7149
_cell_length_b 5.0622
_cell_length_c 5.6774
_cell_angle_alpha 105.00
_cell_angle_beta 90.00
_cell_angle_gamma 105.55
loop_
_symmetry_equiv_pos_as_xyz
'x,y,z'
loop_
_atom_site_label
_atom_site_fract_x
_atom_site_fract_y
_atom_site_fract_z
Be1 0.6541 0.3082 0.0375
Be2 0.3459 0.6918 0.9625
Ir1 0.9727 0.9454 0.7436
Ir2 0.3106 0.6212 0.3502
Ir3 0.0273 0.0546 0.2564
Ir4 0.6894 0.3788 0.6498
```

## Properties
formation energy = -0.387 eV per atom
density of states at the Fermi level = 0.52 states/eV/atom
final energy = -49.237 eV per atom

Entry 10:
The following is a DFT calculation (meta-GGA SCAN) of Ag3Pb4 at its PBEsol-relaxed geometry.

Cell and atoms, written as CIF:
```
data_Ag3Pb4
_symmetry_space_group_name_H-M 'P 1'
_symmetry_Int_Tables_number 1
_cell_length_a 5.5891
_cell_length_b 5.5891
_cell_length_c 6.1559
_cell_angle_alpha 90.00
_cell_angle_beta 90.00
_cell_angle_gamma 120.00
loop_
_symmetry_equiv_pos_as_xyz
'x,y,z'
loop_
_atom_site_label
_atom_site_fract_x
_atom_site_fract_y
_atom_site_fract_z
Pb1 0.0000 0.0000 0.7509
Pb2 0.0000 0.0000 0.2491
Pb3 0.3333 0.6667 0.5000
Pb4 0.6667 0.3333 0.5000
Ag1 0.0000 0.5000 0.0000
Ag2 0.5000 0.0000 0.0000
Ag3 0.5000 0.5000 0.0000
```

## Properties
formation energy = 0.103 eV per atom
density of states at the Fermi level = 0.35 states/eV/atom
final energy = -56.644 eV per atom

Entry 11:
The following is a DFT calculation (meta-GGA SCAN) of CuTc4 at its PBEsol-relaxed geometry.

Cell and atoms, written as CIF:
```
data_CuTc4
_symmetry_space_group_name_H-M 'P 1'
_symmetry_Int_Tables_number 1
_cell_length_a 3.7240
_cell_length_b 3.7240
_cell_length_c 6.2518
_cell_angle_alpha 107.33
_cell_angle_beta 107.33
_cell_angle_gamma 90.00
loop_
_symmetry_equiv_pos_as_xyz
'x,y,z'
loop_
_atom_site_label
_atom_site_fract_x
_atom_site_fract_y
_atom_site_fract_z
Cu1 0.0000 0.0000 0.0000
Tc1 0.7500 0.2500 0.5000
Tc2 0.2500 0.7500 0.5000
Tc3 0.3980 0.3980 0.7960
Tc4 0.6020 0.6020 0.2040
```

## Properties
formation energy = 0.645 eV per atom
density of states at the Fermi level = 0.91 states/eV/atom
final energy = -30.443 eV per atom

Entry 12:
The following is a DFT calculation (meta-GGA SCAN) of CoRhAu2 at its PBEsol-relaxed geometry.

Cell and atoms, written as CIF:
```
data_CoRhAu2
_symmetry_space_group_name_H-M 'P 1'
_symmetry_Int_Tables_number 1
_cell_length_a 2.7779
_cell_length_b 4.5997
_cell_length_c 5.3212
_cell_angle_alpha 115.61
_cell_angle_beta 105.13
_cell_angle_gamma 90.00
loop_
_symmetry_equiv_pos_as_xyz
'x,y,z'
loop_
_atom_site_label
_atom_site_fract_x
_atom_site_fract_y
_atom_site_fract_z
Rh1 0.2297 0.7297 0.4594
Au1 0.9943 0.9943 0.9887
Au2 0.7656 0.2656 0.5312
Co1 0.5103 0.5103 0.0207
```

## Properties
formation energy = 0.178 eV per atom
density of states at the Fermi level = 0.80 states/eV/atom
final energy = -47.169 eV per atom